# 1
Material: PHS4
Method: DFT, PBE
State: optimized geometry

Lattice parameters (Å, degrees): 7.327 6.307 9.300 95.18 100.36 129.16
Fractional positions:
S  0.913  0.877  0.075
S  0.662  0.198  0.075
S  0.338  0.802  0.925
S  0.139  0.508  0.330
S  0.309  0.178  0.670
S  0.861  0.492  0.670
S  0.691  0.822  0.330
S  0.087  0.123  0.925
P  0.853  0.103  0.206
P  0.147  0.897  0.794
H  0.608  0.358  0.716
H  0.392  0.642  0.284

Results
Electronic total energy in eV for the cell shown: -51.0
Symmetry: C2/c (15)
Density of states at the Fermi level in states/eV/cell: 0.0

---

# 2
Material: SbP2HS
Method: DFT, PBE
State: optimized geometry

Lattice parameters (Å, degrees): 5.194 5.194 5.112 90.00 90.00 90.00
Last column: magnetic moment on the atom in μB.
Fractional positions:
S  0.000  0.000  0.500  0.10
Sb  0.000  0.000  0.000  -0.01
H  0.500  0.500  0.500  0.36
P  0.500  0.000  0.000  0.40
P  0.000  0.500  0.000  0.40

Results
Electronic total energy in eV for the cell shown: -15.1
Symmetry: P4/mmm (123)
Energy above the lowest structure with this stoichiometry in meV per atom: 815
Density of states at the Fermi level in states/eV/cell: 3.4

---

# 3
Material: SbP2HS
Method: DFT, PBE
State: optimized geometry

Lattice parameters (Å, degrees): 3.777 3.777 5.718 90.00 90.00 90.00
Fractional positions:
P  0.000  0.500  0.000
P  0.500  0.000  0.000
Sb  0.500  0.500  0.500
H  0.000  0.000  0.000
S  0.000  0.000  0.500

Results
Electronic total energy in eV for the cell shown: -19.2
Symmetry: P4/mmm (123)
Energy above the lowest structure with this stoichiometry in meV per atom: 0
Density of states at the Fermi level in states/eV/cell: 2.4

---

# 4
Material: SbPHS2
Method: DFT, PBE
State: optimized geometry

Lattice parameters (Å, degrees): 5.082 5.082 5.258 90.00 90.00 90.00
Last column: magnetic moment on the atom in μB.
Fractional positions:
S  0.500  0.000  0.000  0.03
S  0.000  0.500  0.000  0.03
H  0.500  0.500  0.500  0.37
P  0.000  0.000  0.500  0.63
Sb  0.000  0.000  0.000  -0.01

Results
Electronic total energy in eV for the cell shown: -15.1
Symmetry: P4/mmm (123)
Energy above the lowest structure with this stoichiometry in meV per atom: 635
Density of states at the Fermi level in states/eV/cell: 3.4

---

# 5
Material: SbPHS2
Method: DFT, PBE
State: optimized geometry

Lattice parameters (Å, degrees): 4.827 4.827 3.347 90.00 90.00 90.00
Fractional positions:
P  0.000  0.000  0.500
H  0.000  0.000  0.000
S  0.000  0.500  0.000
S  0.500  0.000  0.000
Sb  0.500  0.500  0.500

Results
Electronic total energy in eV for the cell shown: -18.2
Symmetry: P4/mmm (123)
Energy above the lowest structure with this stoichiometry in meV per atom: 0
Density of states at the Fermi level in states/eV/cell: 1.7

---

# 6
Material: ScP2HS
Method: DFT, PBE
State: optimized geometry

Lattice parameters (Å, degrees): 5.009 5.009 4.874 90.00 90.00 90.00
Last column: magnetic moment on the atom in μB.
Fractional positions:
P  0.500  0.000  0.000  -0.19
P  0.000  0.500  0.000  -0.19
Sc  0.000  0.000  0.000  0.03
S  0.000  0.000  0.500  -0.05
H  0.500  0.500  0.500  0.35

Results
Electronic total energy in eV for the cell shown: -21.0
Symmetry: P4/mmm (123)
Energy above the lowest structure with this stoichiometry in meV per atom: 922
Density of states at the Fermi level in states/eV/cell: 4.2

---

# 7
Material: Sc3PHS
Method: DFT, PBE
State: optimized geometry

Lattice parameters (Å, degrees): 3.562 7.425 7.677 100.82 90.00 90.00
Fractional positions:
Sc  0.250  0.102  0.869
Sc  0.750  0.194  0.501
Sc  0.250  0.597  0.835
Sc  0.250  0.806  0.499
Sc  0.750  0.403  0.165
Sc  0.750  0.898  0.131
S  0.250  0.657  0.173
S  0.750  0.343  0.827
P  0.750  0.837  0.777
P  0.250  0.163  0.223
H  0.750  0.914  0.410
H  0.250  0.086  0.590

Results
Electronic total energy in eV for the cell shown: -79.4
Symmetry: P2_1/m (11)
Density of states at the Fermi level in states/eV/cell: 4.3

---

# 8
Material: Sc8P3HS4
Method: DFT, PBE
State: optimized geometry

Lattice parameters (Å, degrees): 7.356 7.385 7.356 119.87 120.00 90.00
Fractional positions:
S  0.500  0.000  0.000
S  0.500  0.000  0.500
S  0.000  0.000  0.500
S  0.000  0.000  0.000
Sc  0.257  0.252  0.004
Sc  0.253  0.748  0.996
Sc  0.253  0.259  0.506
Sc  0.747  0.741  0.494
Sc  0.743  0.748  0.996
Sc  0.747  0.252  0.004
Sc  0.747  0.252  0.495
Sc  0.253  0.748  0.505
P  0.000  0.500  0.500
P  0.500  0.500  0.500
P  0.500  0.500  0.000
H  0.000  0.500  0.000

Results
Electronic total energy in eV for the cell shown: -111.8
Symmetry: R-3m (166)
Density of states at the Fermi level in states/eV/cell: 5.1

---

# 9
Material: Sc4PHS2
Method: DFT, PBE
State: optimized geometry

Lattice parameters (Å, degrees): 5.149 5.149 6.350 114.15 114.15 89.48
Fractional positions:
Sc  0.435  0.972  0.000
Sc  0.697  0.697  0.518
Sc  0.179  0.179  0.482
Sc  0.972  0.435  0.000
S  0.689  0.189  0.500
S  0.189  0.689  0.500
H  0.400  0.400  0.000
P  0.936  0.936  0.000

Results
Electronic total energy in eV for the cell shown: -53.4
Symmetry: Fmm2 (42)
Density of states at the Fermi level in states/eV/cell: 4.8

---

# 10
Material: ScP2HS
Method: DFT, PBE
State: optimized geometry

Lattice parameters (Å, degrees): 3.621 3.621 5.436 90.00 90.00 90.00
Fractional positions:
H  0.000  0.000  0.000
Sc  0.500  0.500  0.500
P  0.000  0.500  0.000
P  0.500  0.000  0.000
S  0.000  0.000  0.500

Results
Electronic total energy in eV for the cell shown: -25.6
Symmetry: P4/mmm (123)
Energy above the lowest structure with this stoichiometry in meV per atom: 0
Density of states at the Fermi level in states/eV/cell: 2.7

---

# 11
Material: PHSeS
Method: DFT, PBE
State: optimized geometry

Lattice parameters (Å, degrees): 5.920 3.478 8.740 90.00 93.02 90.00
Fractional positions:
Se  0.354  0.500  0.184
Se  0.354  0.000  0.684
H  0.035  0.000  0.354
H  0.035  0.500  0.854
P  0.093  0.500  0.697
P  0.093  0.000  0.197
S  0.833  0.000  0.053
S  0.833  0.500  0.553

Results
Electronic total energy in eV for the cell shown: -33.1
Symmetry: Cm (8)
Energy above the lowest structure with this stoichiometry in meV per atom: 21

---

# 12
Material: PH2SeS
Method: DFT, PBE
State: optimized geometry

Lattice parameters (Å, degrees): 6.408 4.245 9.692 90.00 126.64 90.00
Fractional positions:
Se  0.926  0.000  0.190
Se  0.926  0.500  0.690
S  0.392  0.500  0.199
S  0.392  0.000  0.699
H  0.301  0.500  0.440
H  0.606  0.000  0.868
H  0.301  0.000  0.940
H  0.606  0.500  0.368
P  0.125  0.500  0.257
P  0.125  0.000  0.757

Results
Electronic total energy in eV for the cell shown: -40.1
Symmetry: Cm (8)
Energy above the lowest structure with this stoichiometry in meV per atom: 0
Density of states at the Fermi level in states/eV/cell: 2.1

---

Calculated volume readings, ordered: 315.9 137.9 81.6 135.8 78.0 122.3 199.4 283.1 137.6 71.3 179.7 211.5 Å³/cell